[1]
## TiBi2Rh (meta-GGA SCAN)

Data for a PBEsol-optimized structure of TiBi2Rh.

abc: 9.6484 9.6484 9.6484
angles: 153.25 153.25 38.19
Last column: nearest neighbours and their distance in Å.
Element x y z (fractional)
Ti: 0.0000 0.0000 0.0000  4 Bi 2.79
Ti: 0.7500 0.2500 0.5000  4 Bi 2.79
Bi: 0.1331 0.6250 0.0081  2 Rh 2.76, 2 Ti 2.79
Bi: 0.3750 0.3831 0.5081  2 Rh 2.76, 2 Ti 2.79
Bi: 0.6169 0.1250 0.9919  2 Rh 2.76, 2 Ti 2.79
Bi: 0.8750 0.8669 0.4919  2 Rh 2.76, 2 Ti 2.79
Rh: 0.2500 0.7500 0.5000  4 Bi 2.76
Rh: 0.5000 0.5000 0.0000  4 Bi 2.76

## Properties
**Raw total energy**: -412.185 eV per cell

=====

[2]
## Ti3BiRh (meta-GGA SCAN)

Data for a PBEsol-optimized structure of Ti3BiRh.

abc: 4.6922 4.6922 4.6922
angles: 90.00 90.00 90.00
Last column: nearest neighbours and their distance in Å.
Element x y z (fractional)
Ti: 0.0000 0.0000 0.5000  2 Rh 2.35
Ti: 0.0000 0.5000 0.0000  2 Rh 2.35
Ti: 0.5000 0.0000 0.0000  2 Rh 2.35
Bi: 0.5000 0.5000 0.5000  12 Ti 3.32
Rh: 0.0000 0.0000 0.0000  6 Ti 2.35

## Properties
**Energy relative to the lowest polymorph listed for this composition**: 0 meV per atom

=====

[3]
## TmBiRh (meta-GGA SCAN)

Data for a PBEsol-optimized structure of TmBiRh.

abc: 4.6685 4.6685 4.6685
angles: 60.00 60.00 60.00
Last column: nearest neighbours and their distance in Å.
Element x y z (fractional)
Tm: 0.0000 0.0000 0.0000  4 Bi 2.86
Bi: 0.7500 0.7500 0.7500  4 Tm 2.86, 4 Rh 2.86
Rh: 0.5000 0.5000 0.5000  4 Bi 2.86

## Properties
**Raw total energy**: -165.098 eV per cell

=====

[4]
## TmBiRh (meta-GGA SCAN)

Data for a PBEsol-optimized structure of TmBiRh.

abc: 4.6101 4.6101 4.6101
angles: 60.00 60.00 60.00
Last column: nearest neighbours and their distance in Å.
Element x y z (fractional)
Tm: 0.0000 0.0000 0.0000  4 Rh 2.82
Bi: 0.5000 0.5000 0.5000  4 Rh 2.82
Rh: 0.7500 0.7500 0.7500  4 Bi 2.82, 4 Tm 2.82

## Properties
**Raw total energy**: -166.942 eV per cell